A:
First-principles (PBE) data for LiHf2Re after structural relaxation, as listed in the Open Quantum Materials Database.

The structure in POSCAR format:
```
LiHf2Re
1.0
3.954 -3.392 0.000
3.954 3.392 0.000
0.000 0.000 5.199
Li Hf Re
2 4 2
Cartesian
3.954 2.266 3.899
3.954 -2.266 1.300
1.587 1.028 3.899
1.587 -1.028 1.300
6.321 1.028 3.899
6.321 -1.028 1.300
3.954 0.000 0.000
3.954 0.000 2.600
```

## Properties
Space-group type: Cmcm, No. 63

B:
First-principles (PBE) data for LiHf2Re after structural relaxation, as listed in the Open Quantum Materials Database.

The structure in POSCAR format:
```
LiHf2Re
1.0
4.339 0.000 0.000
-2.170 3.758 0.000
0.000 0.000 8.759
Li Hf Re
2 4 2
Cartesian
0.000 2.505 2.190
2.170 1.253 6.569
0.000 2.505 5.173
0.000 2.505 7.965
2.170 1.253 0.794
2.170 1.253 3.586
0.000 0.000 2.190
0.000 0.000 6.569
```

## Properties
Space-group type: P6_3/mmc, No. 194

Top of the stability list: A, leading by 334 meV per atom.